Density functional theory data (PBEsol) for a geometry-optimized Hg2AuSe structure.

The final energy comes out at -26.420 eV/cell. The uncorrected formation energy is 0.025 eV per atom. The value obtained for the total magnetization is 0.00 Bohr magnetons per cell.

It has space group R-3m (No. 166, hexagonal axes), with a = 4.0079 Å, b = 4.0079 Å, c = 19.1893 Å, α = 90.00°, β = 90.00° and γ = 120.00°. Symmetry generates all atoms from Hg at (0.0000, 0.0000, 0.2480), Au at (0.0000, 0.0000, 0.5000) and Se at (0.0000, 0.0000, 0.0000).